(1)
## Ca2MoIrRh (GGA-PBE)

Data for an optimized crystal structure of Ca2MoIrRh.

Summary:
As for the total energy: -4.9001 eV per atom. For the total magnetization, the calculation gives 0.801 μB/cell. As for the formation energy: 1.309 eV per atom.

a = 5.231 Å, b = 4.552 Å, c = 5.231 Å
α = 90.00°, β = 90.00°, γ = 90.00°
Each line ends with the local moment (μB).
Fractional coordinates of all 5 atoms:
1 Ca 0.500 0.000 0.000  -0.01
2 Ca 0.000 0.000 0.500  0.00
3 Mo 0.000 0.000 0.000  0.16
4 Rh 0.000 0.500 0.000  0.04
5 Ir 0.500 0.500 0.500  0.66

=====

(2)
## Ac4Mg2P (GGA-PBE)

Data for an optimized crystal structure of Ac4Mg2P.

Summary:
As for the total energy: -3.7942 eV per atom. For the total magnetization, the calculation gives 0.000 μB/cell. As for the formation energy: -0.218 eV per atom.

a = 5.874 Å, b = 5.874 Å, c = 9.290 Å
α = 108.43°, β = 108.43°, γ = 90.00°
Fractional coordinates of all 7 atoms:
1 Mg 0.616 0.616 0.233
2 Mg 0.384 0.384 0.767
3 Ac 0.179 0.179 0.357
4 Ac 0.000 0.500 0.000
5 Ac 0.821 0.821 0.643
6 Ac 0.500 0.000 0.000
7 P 0.000 0.000 0.000

=====

(3)
## Sr3TaIr (GGA-PBE)

Data for an optimized crystal structure of Sr3TaIr.

Summary:
As for the relative energy among the computed polymorphs: 0 meV/atom. As for the total energy: -4.2594 eV per atom. For the total magnetization, the calculation gives 4.938 μB/cell. As for the formation energy: 0.892 eV per atom.

a = 5.744 Å, b = 5.744 Å, c = 5.744 Å
α = 90.00°, β = 90.00°, γ = 90.00°
Each line ends with the local moment (μB).
Fractional coordinates of all 5 atoms:
1 Sr 0.500 0.000 0.000  0.05
2 Sr 0.000 0.500 0.000  0.05
3 Sr 0.000 0.000 0.500  0.06
4 Ta 0.500 0.500 0.500  2.29
5 Ir 0.000 0.000 0.000  0.12

=====

(4)
## KBeF3 (GGA-PBE)

Data for an optimized crystal structure of KBeF3.

Summary:
As for the total energy: -5.2502 eV per atom. For the total magnetization, the calculation gives 0.225 μB/cell. For the uncorrected formation energy, the calculation gives -3.163 eV/atom.

a = 4.540 Å, b = 5.546 Å, c = 12.260 Å
α = 90.00°, β = 90.00°, γ = 90.00°
Fractional coordinates of all 20 atoms:
1 Be 0.332 0.700 0.571
2 Be 0.668 0.200 0.929
3 Be 0.168 0.300 0.071
4 Be 0.832 0.800 0.429
5 F 0.677 0.721 0.542
6 F 0.177 0.779 0.458
7 F 0.766 0.066 0.407
8 F 0.323 0.221 0.958
9 F 0.262 0.877 0.662
10 F 0.738 0.377 0.838
11 F 0.734 0.934 0.907
12 F 0.762 0.623 0.338
13 F 0.823 0.279 0.042
14 F 0.234 0.566 0.093
15 F 0.238 0.123 0.162
16 F 0.266 0.434 0.593
17 K 0.775 0.184 0.641
18 K 0.275 0.316 0.359
19 K 0.225 0.684 0.859
20 K 0.725 0.816 0.141

=====

(5)
## Ce3TmS (GGA-PBE)

Data for an optimized crystal structure of Ce3TmS.

Summary:
As for the total energy: -5.8240 eV per atom. For the total magnetization, the calculation gives 2.068 μB/cell. For the uncorrected formation energy, the calculation gives -0.544 eV/atom.

a = 5.358 Å, b = 5.358 Å, c = 5.358 Å
α = 90.00°, β = 90.00°, γ = 90.00°
Each line ends with the local moment (μB).
Fractional coordinates of all 5 atoms:
1 Ce 0.000 0.500 0.000  0.54
2 Ce 0.000 0.000 0.500  0.54
3 Ce 0.500 0.000 0.000  0.54
4 S 0.000 0.000 0.000  -0.02
5 Tm 0.500 0.500 0.500  0.09

=====

(6)
## Be2PRh (GGA-PBE)

Data for an optimized crystal structure of Be2PRh.

Summary:
As for the total energy: -5.3219 eV per atom. For the total magnetization, the calculation gives 0.000 μB/cell. As for the formation energy: -0.268 eV per atom.

a = 4.157 Å, b = 4.157 Å, c = 4.065 Å
α = 81.93°, β = 81.93°, γ = 39.01°
Fractional coordinates of all 4 atoms:
1 Be 0.999 0.999 0.979
2 Be 0.750 0.750 0.758
3 Rh 0.246 0.246 0.248
4 P 0.505 0.505 0.515

=====

(7)
## CoPdPb3 (GGA-PBE)

Data for an optimized crystal structure of CoPdPb3.

Summary:
As for the relative energy among the computed polymorphs: 0 meV/atom. As for the total energy: -4.3505 eV per atom. For the total magnetization, the calculation gives 0.461 μB/cell. As for the formation energy: 0.334 eV per atom.

a = 5.014 Å, b = 5.014 Å, c = 5.014 Å
α = 90.00°, β = 90.00°, γ = 90.00°
Each line ends with the local moment (μB).
Fractional coordinates of all 5 atoms:
1 Pb 0.000 0.000 0.500  0.02
2 Pb 0.500 0.000 0.000  -0.01
3 Pb 0.000 0.500 0.000  0.01
4 Pd 0.500 0.500 0.500  -0.01
5 Co 0.000 0.000 0.000  0.43

=====

(8)
## SrLiSmSe3 (GGA-PBE)

Data for an optimized crystal structure of SrLiSmSe3.

Summary:
As for the total energy: -4.9097 eV per atom. For the total magnetization, the calculation gives 0.000 μB/cell. For the uncorrected formation energy, the calculation gives -1.782 eV/atom.

a = 4.210 Å, b = 8.770 Å, c = 9.089 Å
α = 102.61°, β = 90.00°, γ = 90.00°
Fractional coordinates of all 12 atoms:
1 Se 0.750 0.211 0.508
2 Se 0.250 0.566 0.833
3 Se 0.250 0.108 0.868
4 Se 0.250 0.789 0.492
5 Se 0.750 0.892 0.132
6 Se 0.750 0.434 0.167
7 Li 0.250 0.085 0.586
8 Li 0.750 0.915 0.414
9 Sr 0.250 0.183 0.233
10 Sr 0.750 0.817 0.767
11 Sm 0.750 0.332 0.832
12 Sm 0.250 0.668 0.168

=====

(9)
## TiMnZnGa (GGA-PBE)

Data for an optimized crystal structure of TiMnZnGa.

Summary:
As for the total energy: -5.5014 eV per atom. For the total magnetization, the calculation gives 2.071 μB/cell. As for the formation energy: -0.160 eV per atom.

a = 4.352 Å, b = 4.352 Å, c = 4.352 Å
α = 60.00°, β = 60.00°, γ = 60.00°
Each line ends with the local moment (μB).
Fractional coordinates of all 4 atoms:
1 Ti 0.250 0.250 0.250  -0.73
2 Zn 0.000 0.000 0.000  -0.03
3 Mn 0.750 0.750 0.750  2.90
4 Ga 0.500 0.500 0.500  -0.05

=====

(10)
## BaCdTe2 (GGA-PBE)

Data for an optimized crystal structure of BaCdTe2.

Summary:
As for the total energy: -2.7969 eV per atom. For the total magnetization, the calculation gives 0.000 μB/cell. For the uncorrected formation energy, the calculation gives -0.517 eV/atom.

a = 5.746 Å, b = 5.746 Å, c = 5.746 Å
α = 60.00°, β = 60.00°, γ = 60.00°
Fractional coordinates of all 4 atoms:
1 Te 0.000 0.000 0.000
2 Te 0.250 0.250 0.250
3 Ba 0.500 0.500 0.500
4 Cd 0.750 0.750 0.750

=====

(11)
## LaP2Ru3 (GGA-PBE)

Data for an optimized crystal structure of LaP2Ru3.

Summary:
As for the total energy: -8.0233 eV per atom. For the total magnetization, the calculation gives 0.000 μB/cell. As for the formation energy: -0.761 eV per atom.

a = 3.973 Å, b = 8.242 Å, c = 9.712 Å
α = 107.65°, β = 90.00°, γ = 103.95°
Fractional coordinates of all 18 atoms:
1 P 0.803 0.606 0.870
2 P 0.640 0.281 0.449
3 P 0.360 0.719 0.551
4 P 0.465 0.930 0.224
5 P 0.535 0.070 0.776
6 P 0.197 0.394 0.130
7 Ru 0.500 0.000 0.500
8 Ru 0.624 0.249 0.204
9 Ru 0.376 0.751 0.796
10 Ru 0.783 0.566 0.607
11 Ru 0.217 0.434 0.393
12 Ru 0.320 0.640 0.036
13 Ru 0.680 0.360 0.964
14 Ru 0.956 0.911 0.664
15 Ru 0.044 0.089 0.336
16 La 0.000 0.000 0.000
17 La 0.843 0.686 0.301
18 La 0.157 0.314 0.699

=====

(12)
## Cd6HgBi3 (GGA-PBE)

Data for an optimized crystal structure of Cd6HgBi3.

Summary:
As for the total energy: -1.6880 eV per atom. For the total magnetization, the calculation gives 0.000 μB/cell. As for the formation energy: 0.056 eV per atom.

a = 5.093 Å, b = 9.437 Å, c = 11.266 Å
α = 90.00°, β = 90.00°, γ = 90.46°
Fractional coordinates of all 20 atoms:
1 Cd 0.273 0.009 0.770
2 Cd 0.773 0.172 0.751
3 Cd 0.727 0.328 0.251
4 Cd 0.727 0.991 0.230
5 Cd 0.227 0.828 0.249
6 Cd 0.729 0.655 0.261
7 Cd 0.229 0.155 0.239
8 Cd 0.771 0.845 0.761
9 Cd 0.227 0.491 0.270
10 Cd 0.273 0.672 0.749
11 Cd 0.773 0.509 0.730
12 Cd 0.271 0.345 0.739
13 Hg 0.500 0.500 0.500
14 Hg 0.000 0.000 0.000
15 Bi 0.993 0.756 0.506
16 Bi 0.500 0.000 0.500
17 Bi 0.493 0.256 0.994
18 Bi 0.000 0.500 0.000
19 Bi 0.507 0.744 0.006
20 Bi 0.007 0.244 0.494

=====

(13)
## RbU2Pt2Se6 (GGA-PBE)

Data for an optimized crystal structure of RbU2Pt2Se6.

Summary:
As for the total energy: -5.8840 eV per atom. For the total magnetization, the calculation gives 1.028 μB/cell. For the uncorrected formation energy, the calculation gives -0.745 eV/atom.

a = 7.415 Å, b = 7.318 Å, c = 8.102 Å
α = 119.38°, β = 92.90°, γ = 57.04°
Each line ends with the local moment (μB).
Fractional coordinates of all 11 atoms:
1 Se 0.775 0.228 0.480  -0.07
2 Se 0.425 0.790 0.039  -0.06
3 Se 0.018 0.551 0.817  -0.06
4 Se 0.982 0.449 0.183  -0.06
5 Se 0.575 0.210 0.961  -0.06
6 Se 0.225 0.772 0.520  -0.07
7 U 0.862 0.288 0.835  0.90
8 U 0.138 0.712 0.165  0.90
9 Rb 0.500 0.000 0.500  0.00
10 Pt 0.825 0.210 0.176  -0.14
11 Pt 0.175 0.790 0.824  -0.14

=====

(14)
## BaNaHg3 (GGA-PBE)

Data for an optimized crystal structure of BaNaHg3.

Summary:
As for the relative energy among the computed polymorphs: 0 meV/atom. As for the total energy: -1.2048 eV per atom. For the total magnetization, the calculation gives 0.000 μB/cell. As for the formation energy: -0.375 eV per atom.

a = 4.181 Å, b = 5.080 Å, c = 15.166 Å
α = 90.00°, β = 97.92°, γ = 90.00°
Fractional coordinates of all 10 atoms:
1 Na 0.789 0.250 0.577
2 Na 0.211 0.750 0.423
3 Ba 0.923 0.750 0.846
4 Ba 0.077 0.250 0.154
5 Hg 0.371 0.250 0.741
6 Hg 0.474 0.250 0.949
7 Hg 0.684 0.250 0.368
8 Hg 0.316 0.750 0.632
9 Hg 0.526 0.750 0.051
10 Hg 0.629 0.750 0.259

=====

(15)
## Ta2IrPb (GGA-PBE)

Data for an optimized crystal structure of Ta2IrPb.

Summary:
As for the total energy: -8.6587 eV per atom. For the total magnetization, the calculation gives 0.000 μB/cell. As for the formation energy: 0.410 eV per atom.

a = 4.717 Å, b = 4.717 Å, c = 4.717 Å
α = 60.00°, β = 60.00°, γ = 60.00°
Fractional coordinates of all 4 atoms:
1 Ta 0.250 0.250 0.250
2 Ta 0.000 0.000 0.000
3 Pb 0.750 0.750 0.750
4 Ir 0.500 0.500 0.500

=====

(16)
## NbZn2Cl (GGA-PBE)

Data for an optimized crystal structure of NbZn2Cl.

Summary:
As for the relative energy among the computed polymorphs: 0 meV/atom. As for the total energy: -3.2805 eV per atom. For the total magnetization, the calculation gives 0.000 μB/cell. For the uncorrected formation energy, the calculation gives 0.336 eV/atom.

a = 7.656 Å, b = 7.656 Å, c = 5.971 Å
α = 50.12°, β = 50.12°, γ = 90.00°
Fractional coordinates of all 8 atoms:
1 Nb 0.000 0.000 0.000
2 Nb 0.750 0.250 0.500
3 Zn 0.118 0.625 0.250
4 Zn 0.875 0.882 0.750
5 Zn 0.375 0.368 0.750
6 Zn 0.632 0.125 0.250
7 Cl 0.250 0.750 0.500
8 Cl 0.500 0.500 0.000

=====

(17)
## CsTeO3 (GGA-PBE)

Data for an optimized crystal structure of CsTeO3.

Summary:
As for the total energy: -2.8476 eV per atom. For the total magnetization, the calculation gives 0.000 μB/cell. For the uncorrected formation energy, the calculation gives 0.926 eV/atom.

a = 4.560 Å, b = 4.560 Å, c = 4.560 Å
α = 90.00°, β = 90.00°, γ = 90.00°
Fractional coordinates of all 5 atoms:
1 O 0.500 0.000 0.000
2 O 0.000 0.000 0.500
3 O 0.000 0.500 0.000
4 Te 0.500 0.500 0.500
5 Cs 0.000 0.000 0.000

=====

(18)
## DyAlFe2 (GGA-PBE)

Data for an optimized crystal structure of DyAlFe2.

Summary:
As for the total energy: -6.5377 eV per atom. For the total magnetization, the calculation gives 21.782 μB/cell. As for the formation energy: -0.220 eV per atom.

a = 5.282 Å, b = 5.282 Å, c = 16.287 Å
α = 90.00°, β = 90.00°, γ = 120.00°
Each line ends with the local moment (μB).
Fractional coordinates of all 24 atoms:
1 Dy 0.667 0.333 0.969  -0.04
2 Dy 0.667 0.333 0.739  -0.29
3 Dy 0.333 0.667 0.467  -0.59
4 Dy 0.667 0.333 0.533  -0.59
5 Dy 0.333 0.667 0.261  -0.29
6 Dy 0.333 0.667 0.031  -0.04
7 Al 0.672 0.836 0.864  -0.02
8 Al 0.164 0.836 0.864  -0.02
9 Al 0.836 0.164 0.136  -0.02
10 Al 0.836 0.672 0.136  -0.02
11 Al 0.164 0.328 0.864  -0.02
12 Al 0.328 0.164 0.136  -0.02
13 Fe 0.668 0.834 0.624  2.18
14 Fe 0.166 0.834 0.624  2.18
15 Fe 0.333 0.667 0.738  2.17
16 Fe 0.166 0.332 0.624  2.18
17 Fe 0.000 0.000 0.263  2.01
18 Fe 0.834 0.166 0.376  2.18
19 Fe 0.000 0.000 0.737  2.01
20 Fe 0.000 0.000 0.000  0.94
21 Fe 0.667 0.333 0.262  2.17
22 Fe 0.332 0.166 0.376  2.18
23 Fe 0.834 0.668 0.376  2.18
24 Fe 0.000 0.000 0.500  1.92

=====

(19)
## Ca2InAu (GGA-PBE)

Data for an optimized crystal structure of Ca2InAu.

Summary:
As for the total energy: -3.0281 eV per atom. For the total magnetization, the calculation gives 0.000 μB/cell. As for the formation energy: -0.523 eV per atom.

a = 6.386 Å, b = 6.386 Å, c = 5.194 Å
α = 66.54°, β = 66.54°, γ = 34.29°
Fractional coordinates of all 4 atoms:
1 Au 0.240 0.240 0.257
2 Ca 0.964 0.964 0.038
3 Ca 0.758 0.758 0.740
4 In 0.538 0.538 0.465

=====

(20)
## LiTbCeIr (GGA-PBE)

Data for an optimized crystal structure of LiTbCeIr.

Summary:
As for the total energy: -5.7485 eV per atom. For the total magnetization, the calculation gives 0.645 μB/cell. As for the formation energy: -0.414 eV per atom.

a = 4.977 Å, b = 4.977 Å, c = 4.977 Å
α = 60.00°, β = 60.00°, γ = 60.00°
Each line ends with the local moment (μB).
Fractional coordinates of all 4 atoms:
1 Ir 0.500 0.500 0.500  -0.03
2 Ce 0.250 0.250 0.250  0.55
3 Tb 0.750 0.750 0.750  0.02
4 Li 0.000 0.000 0.000  0.01